No. 1
This record from Alexandria describes an optimized crystal structure of LiCa3. The functional is GGA-PBEsol.

a b c (Å): 5.7745 5.7745 4.3539
angles (deg): 90.00 90.00 90.00
Last column: nearest neighbours and their distance in Å.
Fractional coordinates of all 4 atoms:
Li 0.0000 0.0000 0.0000  8 Ca 3.62
Ca 0.0000 0.5000 0.5000  4 Li 3.62, 4 Ca 3.62
Ca 0.5000 0.0000 0.5000  4 Li 3.62, 4 Ca 3.62
Ca 0.5000 0.5000 0.0000  8 Ca 3.62

Formation energy from the elements ... 0.06 eV/atom
Space-group type ... P4/mmm (123)

***

No. 2
This record from Alexandria describes an optimized crystal structure of LaAsPb2S. The functional is GGA-PBEsol.

a b c (Å): 5.3124 5.3124 5.4100
angles (deg): 90.00 90.00 90.00
Last column: nearest neighbours and their distance in Å.
Fractional coordinates of all 5 atoms:
La 0.0000 0.0000 0.0000  2 S 2.70
As 0.5000 0.5000 0.0000  4 La 3.76, 8 Pb 3.79
Pb 0.0000 0.5000 0.5000  2 S 2.66
Pb 0.5000 0.0000 0.5000  2 S 2.66
S 0.0000 0.0000 0.5000  4 Pb 2.66, 2 La 2.70

Space-group type ... P4/mmm (123)
Final energy ... -4.794 eV per atom

***

No. 3
This record from Alexandria describes an optimized crystal structure of SrMg2. The functional is GGA-PBEsol.

a b c (Å): 5.4406 5.4406 3.6555
angles (deg): 90.00 90.00 120.00
Last column: nearest neighbours and their distance in Å.
Fractional coordinates of all 3 atoms:
Sr 0.0000 0.0000 0.0000  12 Mg 3.63, 2 Sr 3.66
Mg 0.3333 0.6667 0.5000  3 Mg 3.14
Mg 0.6667 0.3333 0.5000  3 Mg 3.14

Formation energy from the elements ... -0.02 eV/atom
Space-group type ... P6/mmm (191)

***

No. 4
This record from Alexandria describes an optimized crystal structure of TiTcW2I. The functional is GGA-PBEsol.

a b c (Å): 4.7863 4.7863 4.6513
angles (deg): 90.00 90.00 90.00
Last column: nearest neighbours and their distance in Å.
Fractional coordinates of all 5 atoms:
Ti 0.0000 0.0000 0.0000  8 W 3.34, 4 Tc 3.38
Tc 0.5000 0.5000 0.0000  2 I 2.33
W 0.0000 0.5000 0.5000  2 I 2.39
W 0.5000 0.0000 0.5000  2 I 2.39
I 0.5000 0.5000 0.5000  2 Tc 2.33, 4 W 2.39

Space-group type ... P4/mmm (123)
Final energy ... -7.380 eV per atom

***

What did the first record say?
This record from Alexandria describes an optimized crystal structure of LiCa3. The functional is GGA-PBEsol.

a b c (Å): 5.7745 5.7745 4.3539
angles (deg): 90.00 90.00 90.00
Last column: nearest neighbours and their distance in Å.
Fractional coordinates of all 4 atoms:
Li 0.0000 0.0000 0.0000  8 Ca 3.62
Ca 0.0000 0.5000 0.5000  4 Li 3.62, 4 Ca 3.62
Ca 0.5000 0.0000 0.5000  4 Li 3.62, 4 Ca 3.62
Ca 0.5000 0.5000 0.0000  8 Ca 3.62

Formation energy from the elements ... 0.06 eV/atom
Space-group type ... P4/mmm (123)